CsSnSb2Te: optimized geometry, PBE.

E_form (uncorrected): 65 kJ/mol of formula units
excess energy over the best structure of this formula in the dataset: 0 kJ/mol of formula units
DOS at the Fermi energy: 1.028 states/eV per atom

Cell lengths 5.8241, 5.8241, 6.0406 Å; angles 90.00, 90.00, 90.00 degrees
With the nearest neighbours (Å) after each atom.
Atoms (fractional coordinates):
Sb  0.5000  0.0000  0.0000  2 Sn 2.91
Sb  0.0000  0.5000  0.0000  2 Sn 2.91
Sn  0.0000  0.0000  0.0000  4 Sb 2.91, 2 Te 3.02
Te  0.0000  0.0000  0.5000  2 Sn 3.02
Cs  0.5000  0.5000  0.5000  4 Te 4.12, 8 Sb 4.20